Version a
The following is a PBE-GGA calculation of crystalline TbNd4Tl2 at its relaxed geometry, from Alexandria.

abc: 5.6112 5.6112 9.6053
angles: 73.02 73.02 60.00
Closest atoms and distances in Å follow each position.
Element x y z (fractional)
Nd: 0.2679 0.2679 0.1964  4 Tl 3.20-3.26
Nd: 0.8695 0.8695 0.3915  3 Tb 3.38, 7 Nd 3.69-3.79
Tb: 0.5000 0.5000 0.5000  2 Tl 3.10, 6 Nd 3.38
Nd: 0.1305 0.1305 0.6085  3 Tb 3.38, 7 Nd 3.69-3.79
Nd: 0.7321 0.7321 0.8036  4 Tl 3.20-3.26
Tl: 0.3858 0.3858 0.8425  1 Tb 3.10, 4 Nd 3.20-3.26
Tl: 0.6142 0.6142 0.1575  1 Tb 3.10, 4 Nd 3.20-3.26

symmetry = R-3m (166)

=====

Version b
The following is a PBE-GGA calculation of crystalline TbNd4Tl2 at its relaxed geometry, from Alexandria.

abc: 9.4396 6.6120 12.7782
angles: 134.19 154.32 59.45
Closest atoms and distances in Å follow each position.
Element x y z (fractional)
Tb: 0.9990 0.9997 0.9999  4 Nd 3.26-3.31, 2 Tl 3.32-3.33
Tl: 0.3253 0.2167 0.5936  7 Nd 3.15-3.50, 1 Tb 3.32
Nd: 0.0283 0.6285 0.3565  1 Nd 3.23, 1 Tb 3.26, 4 Tl 3.35-3.59
Nd: 0.5002 0.9999 0.9999  4 Tl 3.15-3.50, 2 Nd 3.23
Tl: 0.6749 0.7836 0.4061  7 Nd 3.16-3.50, 1 Tb 3.33
Nd: 0.9710 0.3722 0.6431  1 Nd 3.23, 1 Tb 3.26, 4 Tl 3.35-3.59
Nd: 0.0013 0.4993 0.0007  4 Tl 3.16-3.48, 2 Tb 3.30-3.31

symmetry = P1 (1)

=====

Which is most stable, and by how much? version b, by 0.102 eV/atom.

=====

Version a
The following is a PBE-GGA calculation of crystalline Tb3NdTl4 at its relaxed geometry, from Alexandria.

abc: 5.4415 7.6034 10.8842
angles: 90.00 90.00 90.00
Closest atoms and distances in Å follow each position.
Element x y z (fractional)
Nd: 0.0000 0.5000 0.5000  8 Tl 3.34
Tl: 0.0010 0.7552 0.2500  6 Tb 3.30-3.34, 2 Nd 3.34
Tl: 0.5000 0.2448 0.5000  6 Tb 3.30-3.34, 2 Nd 3.34
Tl: 0.9990 0.2448 0.7500  6 Tb 3.30-3.34, 2 Nd 3.34
Tb: 0.4992 0.0000 0.7500  8 Tl 3.30
Tl: 0.9990 0.7552 0.7500  6 Tb 3.30-3.34, 2 Nd 3.34
Tb: 0.4993 0.5000 0.7500  8 Tl 3.34
Tl: 0.5000 0.7552 0.5000  6 Tb 3.30-3.34, 2 Nd 3.34
Nd: 0.0000 0.5000 0.0000  8 Tl 3.34
Tl: 0.5000 0.7552 0.0000  6 Tb 3.30-3.34, 2 Nd 3.34
Tl: 0.0010 0.2448 0.2500  6 Tb 3.30-3.34, 2 Nd 3.34
Tb: 0.5008 0.0000 0.2500  8 Tl 3.30
Tb: 0.5007 0.5000 0.2500  8 Tl 3.34
Tl: 0.5000 0.2448 0.0000  6 Tb 3.30-3.34, 2 Nd 3.34
Tb: 0.0000 0.0000 0.5000  8 Tl 3.30
Tb: 0.0000 0.0000 0.0000  8 Tl 3.30

symmetry = Pmma (51)

=====

Version b
The following is a PBE-GGA calculation of crystalline Tb3NdTl4 at its relaxed geometry, from Alexandria.

abc: 3.5374 7.2820 10.2041
angles: 110.89 99.98 90.00
Closest atoms and distances in Å follow each position.
Element x y z (fractional)
Tl: 0.6284 0.8415 0.2568  1 Tl 3.10, 1 Nd 3.19, 5 Tb 3.22-3.37
Tb: 0.0000 0.5000 0.0000  8 Tl 3.37, 2 Tb 3.54
Tl: 0.3716 0.1585 0.7432  1 Tl 3.10, 1 Nd 3.19, 5 Tb 3.22-3.37
Nd: 0.5000 0.0000 0.0000  4 Tl 3.19, 2 Nd 3.54
Tb: 0.7806 0.7807 0.5612  6 Tl 3.22-3.25, 2 Tb 3.54
Tl: 0.3716 0.5847 0.7432  1 Tl 3.10, 1 Nd 3.19, 5 Tb 3.22-3.37
Tl: 0.6284 0.4153 0.2568  1 Tl 3.10, 1 Nd 3.19, 5 Tb 3.22-3.37
Tb: 0.2194 0.2193 0.4388  6 Tl 3.22-3.25, 2 Tb 3.54

symmetry = Immm (71)

=====

Which is most stable, and by how much? version a, by 0.136 eV/atom.

=====

Version a
The following is a PBE-GGA calculation of crystalline Tb3Nd4Tl at its relaxed geometry, from Alexandria.

abc: 5.0002 5.0002 10.8575
angles: 103.30 103.30 90.00
Closest atoms and distances in Å follow each position.
Element x y z (fractional)
Tb: 0.7515 0.2515 0.5030  4 Tb 3.54, 8 Nd 3.61-3.65
Nd: 0.1217 0.1220 0.2439  4 Nd 3.53-3.54, 6 Tb 3.54-3.65, 2 Tl 3.54
Tl: 0.5000 0.0000 0.0000  4 Tb 3.54, 8 Nd 3.54
Nd: 0.6220 0.6218 0.2439  4 Nd 3.53-3.54, 6 Tb 3.54-3.65, 2 Tl 3.54
Tb: 0.2485 0.7485 0.4970  4 Tb 3.54, 8 Nd 3.61-3.65
Tb: 0.0000 0.5000 0.0000  4 Tl 3.54, 8 Nd 3.54
Nd: 0.3780 0.3782 0.7561  4 Nd 3.53-3.54, 6 Tb 3.54-3.65, 2 Tl 3.54
Nd: 0.8783 0.8780 0.7561  4 Nd 3.53-3.54, 6 Tb 3.54-3.65, 2 Tl 3.54

symmetry = I4/mmm (139)

=====

Version b
The following is a PBE-GGA calculation of crystalline Tb3Nd4Tl at its relaxed geometry, from Alexandria.

abc: 6.2806 7.2042 11.3875
angles: 90.00 90.00 90.00
Closest atoms and distances in Å follow each position.
Element x y z (fractional)
Tl: 0.6532 0.6060 0.5000  4 Nd 3.37-3.49, 6 Tb 3.42-3.58
Tb: 0.6498 0.6272 0.0000  4 Tb 3.45-3.56, 6 Nd 3.46-3.73, 2 Tl 3.54-3.58
Tb: 0.9716 0.6156 0.7542  2 Tl 3.42-3.52, 4 Tb 3.45-3.56, 6 Nd 3.47-3.74
Nd: 0.1188 0.8691 0.5000  5 Nd 3.36-3.73, 1 Tl 3.49, 4 Tb 3.55-3.63
Nd: 0.1742 0.8705 0.0000  5 Nd 3.36-3.67, 1 Tl 3.43, 4 Tb 3.46-3.73
Nd: 0.9880 0.1345 0.7713  1 Tl 3.37, 6 Nd 3.43-3.73, 5 Tb 3.47-3.74
Tb: 0.9716 0.6156 0.2458  2 Tl 3.42-3.52, 4 Tb 3.45-3.56, 6 Nd 3.47-3.74
Nd: 0.9880 0.1345 0.2287  1 Tl 3.37, 6 Nd 3.43-3.73, 5 Tb 3.47-3.74
Nd: 0.4880 0.8655 0.2713  1 Tl 3.37, 6 Nd 3.43-3.73, 5 Tb 3.47-3.74
Tb: 0.4716 0.3844 0.7458  2 Tl 3.42-3.52, 4 Tb 3.45-3.56, 6 Nd 3.47-3.74
Tb: 0.1498 0.3728 0.5000  4 Tb 3.45-3.56, 6 Nd 3.46-3.73, 2 Tl 3.54-3.58
Tb: 0.4716 0.3844 0.2542  2 Tl 3.42-3.52, 4 Tb 3.45-3.56, 6 Nd 3.47-3.74
Nd: 0.6188 0.1309 0.0000  5 Nd 3.36-3.73, 1 Tl 3.49, 4 Tb 3.55-3.63
Tl: 0.1532 0.3940 0.0000  4 Nd 3.37-3.49, 6 Tb 3.42-3.58
Nd: 0.4880 0.8655 0.7287  1 Tl 3.37, 6 Nd 3.43-3.73, 5 Tb 3.47-3.74
Nd: 0.6742 0.1295 0.5000  5 Nd 3.36-3.67, 1 Tl 3.43, 4 Tb 3.46-3.73

symmetry = Pmn2_1 (31)

=====

Which is most stable, and by how much? version a, by 0.014 eV/atom.

=====

Version a
The following is a PBE-GGA calculation of crystalline Tb5Nd2Tl at its relaxed geometry, from Alexandria.

abc: 3.5713 6.7856 11.2983
angles: 107.48 99.09 90.00
Closest atoms and distances in Å follow each position.
Element x y z (fractional)
Tl: 0.0000 0.0000 0.0000  10 Tb 3.39-3.44, 2 Tl 3.57
Tb: 0.0000 0.5000 0.0000  2 Tl 3.39, 10 Tb 3.45-3.57
Tb: 0.3869 0.6384 0.7738  6 Tb 3.37-3.57, 2 Tl 3.44, 3 Nd 3.56-3.65
Nd: 0.2393 0.7393 0.4786  6 Tb 3.56-3.65, 6 Nd 3.57-3.86
Tb: 0.6131 0.3616 0.2262  6 Tb 3.37-3.57, 2 Tl 3.44, 3 Nd 3.56-3.65
Tb: 0.6131 0.8646 0.2262  6 Tb 3.37-3.57, 2 Tl 3.44, 3 Nd 3.56-3.65
Tb: 0.3869 0.1354 0.7738  6 Tb 3.37-3.57, 2 Tl 3.44, 3 Nd 3.56-3.65
Nd: 0.7607 0.2607 0.5214  6 Tb 3.56-3.65, 6 Nd 3.57-3.86

symmetry = Immm (71)

=====

Version b
The following is a PBE-GGA calculation of crystalline Tb5Nd2Tl at its relaxed geometry, from Alexandria.

abc: 7.0554 7.0556 7.1037
angles: 119.77 119.76 90.01
Closest atoms and distances in Å follow each position.
Element x y z (fractional)
Nd: 0.7220 0.2228 0.4442  10 Tb 3.52-3.55, 2 Tl 3.53
Tb: 0.2224 0.7228 0.9451  6 Tb 3.53-3.55, 2 Tl 3.55-3.56, 4 Nd 3.55
Tl: 0.2223 0.2220 0.4447  4 Nd 3.52-3.53, 8 Tb 3.54-3.56
Tb: 0.7216 0.2218 0.9433  6 Tb 3.53-3.55, 2 Tl 3.55-3.56, 4 Nd 3.55
Tb: 0.7221 0.7221 0.4442  4 Nd 3.52-3.53, 8 Tb 3.55-3.56
Tb: 0.2217 0.2218 0.9431  6 Tb 3.53-3.56, 2 Tl 3.54-3.56, 4 Nd 3.55
Tb: 0.7227 0.7228 0.9453  6 Tb 3.53-3.55, 2 Tl 3.55-3.56, 4 Nd 3.55
Nd: 0.2222 0.7209 0.4442  2 Tl 3.52-3.53, 10 Tb 3.53-3.55

symmetry = Imm2 (44)

=====

Which is most stable, and by how much? version b, by 0.050 eV/atom.

=====

Version a
The following is a PBE-GGA calculation of crystalline TbNd5Tl2 at its relaxed geometry, from Alexandria.

abc: 3.7143 8.5756 8.5756
angles: 80.47 77.49 77.49
Closest atoms and distances in Å follow each position.
Element x y z (fractional)
Nd: 0.3618 0.8598 0.4165  3 Tl 3.27-3.53, 5 Nd 3.42-3.53
Nd: 0.6382 0.1402 0.5835  3 Tl 3.27-3.53, 5 Nd 3.42-3.53
Tl: 0.2759 0.2240 0.2240  7 Nd 3.27-3.53, 2 Tb 3.37
Tl: 0.7240 0.7760 0.7760  7 Nd 3.27-3.53, 2 Tb 3.37
Nd: 0.0000 0.5000 0.5000  2 Tl 3.46, 10 Nd 3.53-3.71
Nd: 0.6382 0.5835 0.1402  3 Tl 3.27-3.53, 5 Nd 3.42-3.53
Nd: 0.3618 0.4165 0.8598  3 Tl 3.27-3.53, 5 Nd 3.42-3.53
Tb: 0.0000 0.0000 0.0000  4 Tl 3.37, 2 Tb 3.71

symmetry = Immm (71)

=====

Version b
The following is a PBE-GGA calculation of crystalline TbNd5Tl2 at its relaxed geometry, from Alexandria.

abc: 5.5818 5.5818 20.4149
angles: 90.00 90.00 120.00
Closest atoms and distances in Å follow each position.
Element x y z (fractional)
Nd: 0.0000 0.0000 0.6617  3 Tl 3.49, 7 Nd 3.61-3.81, 3 Tb 3.69
Nd: 0.3333 0.6667 0.9379  4 Tl 3.23-3.30
Tb: 0.6667 0.3333 0.7500  2 Tl 3.14, 3 Nd 3.22
Nd: 0.6667 0.3333 0.4379  4 Tl 3.23-3.30
Nd: 0.0000 0.0000 0.3383  3 Tl 3.49, 7 Nd 3.61-3.81, 3 Tb 3.69
Tl: 0.6667 0.3333 0.9040  1 Tb 3.14, 7 Nd 3.23-3.49
Nd: 0.3333 0.6667 0.5621  4 Tl 3.23-3.30
Nd: 0.0000 0.0000 0.8383  3 Tl 3.49, 7 Nd 3.61-3.81, 3 Tb 3.69
Nd: 0.3333 0.6667 0.7500  3 Tb 3.22
Nd: 0.0000 0.0000 0.1617  3 Tl 3.49, 7 Nd 3.61-3.81, 3 Tb 3.69
Tl: 0.3333 0.6667 0.4040  1 Tb 3.14, 7 Nd 3.23-3.49
Tl: 0.6667 0.3333 0.5960  1 Tb 3.14, 7 Nd 3.23-3.49
Nd: 0.6667 0.3333 0.2500  3 Tb 3.22
Nd: 0.6667 0.3333 0.0621  4 Tl 3.23-3.30
Tb: 0.3333 0.6667 0.2500  2 Tl 3.14, 3 Nd 3.22
Tl: 0.3333 0.6667 0.0960  1 Tb 3.14, 7 Nd 3.23-3.49

symmetry = P6_3/mmc (194)

=====

Which is most stable, and by how much? version a, by 0.044 eV/atom.